Ti5In4Au | PBE-GGA | optimized geometry

The space group is P4/mmm (No. 123) and the conventional cell measures 2.995, 2.995 and 20.884 Å, with angles of 90.00, 90.00 and 90.00 degrees. The distinct sites, in fractional coordinates, are Ti at (0.000, 0.000, 0.000), Ti at (0.000, 0.000, 0.204), Ti at (0.000, 0.000, 0.409), In at (0.500, 0.500, 0.102), In at (0.500, 0.500, 0.307) and Au at (0.500, 0.500, 0.500).

The value obtained for the density of states at the Fermi level is 9.1 states/eV per cell. The energy of formation comes out at -187 kJ/mol of formula units. As for the crystal system: tetragonal.